Nb2GaN after structural relaxation, computed with GGA-PBE.

It has space group Fm-3m (No. 225), with a = 6.0996 Å, b = 6.0996 Å, c = 6.0996 Å, α = 90.00°, β = 90.00° and γ = 90.00°. The distinct sites, in fractional coordinates, are Nb at (0.2500, 0.2500, 0.2500), Ga at (0.0000, 0.0000, 0.0000) and N at (0.0000, 0.0000, 0.5000).

For the density of states at the Fermi level, the calculation gives 0.78 states/eV/atom. The calculation puts the total moment at 0.000 μB per formula unit. The raw total energy comes out at -7.394 eV/atom. For the raw formation energy, the calculation gives 1.9 eV per formula unit.